(1)
VASP calculation (PBE) on crystalline HfCr2H at its relaxed geometry.

Computed properties:
Total energy, eV/cell: -28.09
V, Å³/cell: 58.2

```
4
Lattice="0.000 3.076 3.076 3.076 0.000 3.076 3.076 3.076 0.000" Properties=species:S:1:pos:R:3 pbc="T T T"
Hf 0.000 0.000 0.000
Cr 1.538 1.538 1.538
Cr 4.614 4.614 4.614
H 3.076 3.076 3.076
```

=====

(2)
VASP calculation (PBE) on crystalline DyZrCuPt at its relaxed geometry.

Computed properties:
Total energy, eV/cell: -25.68
V, Å³/cell: 78.6

```
4
Lattice="0.000 3.400 3.400 3.400 0.000 3.400 3.400 3.400 0.000" Properties=species:S:1:pos:R:3 pbc="T T T"
Dy 0.000 0.000 0.000
Zr 3.400 3.400 3.400
Cu 1.700 1.700 1.700
Pt 5.100 5.100 5.100
```

=====

(3)
VASP calculation (PBE) on crystalline Nd2EuTi at its relaxed geometry.

Computed properties:
Total energy, eV/cell: -26.42
V, Å³/cell: 122.5

```
4
Lattice="0.000 3.941 3.941 3.941 0.000 3.941 3.941 3.941 0.000" Properties=species:S:1:pos:R:3 pbc="T T T"
Nd 1.971 1.971 1.971
Nd 5.912 5.912 5.912
Eu 0.000 0.000 0.000
Ti 3.941 3.941 3.941
```

=====

(4)
VASP calculation (PBE) on crystalline TlCr2TeBr at its relaxed geometry.

Computed properties:
Energy relative to the elements, uncorrected, eV per atom: 1.42
V, Å³/cell: 137.5

```
5
Lattice="4.528 0.000 0.000 0.000 4.528 0.000 0.000 0.000 6.706" Properties=species:S:1:pos:R:3 pbc="T T T"
Tl 0.000 0.000 0.000
Cr 0.000 2.264 3.353
Cr 2.264 0.000 3.353
Te 2.264 2.264 0.000
Br 2.264 2.264 3.353
```

=====

(5)
VASP calculation (PBE) on crystalline ZrMoC at its relaxed geometry.

Computed properties:
Total energy, eV/cell: -29.58
V, Å³/cell: 43.9

```
3
Lattice="3.167 0.000 0.000 -1.584 2.743 0.000 0.000 0.000 5.056" Properties=species:S:1:pos:R:3 pbc="T T T"
Zr 0.000 0.000 0.000
Mo 0.000 1.829 2.516
C 1.584 0.914 1.383
```

=====

(6)
VASP calculation (PBE) on crystalline BaLiGaIr at its relaxed geometry.

Computed properties:
Total energy, eV/cell: -33.63
V, Å³/cell: 229.2

```
8
Lattice="4.401 0.000 0.000 0.000 4.401 0.000 0.000 0.000 11.833" Properties=species:S:1:pos:R:3 pbc="T T T"
Ba 1.100 1.100 2.653
Ba 3.301 3.301 9.181
Li 1.100 3.301 5.917
Li 3.301 1.100 5.917
Ga 1.100 1.100 10.646
Ga 3.301 3.301 1.187
Ir 1.100 3.301 0.000
Ir 3.301 1.100 0.000
```

=====

(7)
VASP calculation (PBE) on crystalline Tb3SmEr3S8 at its relaxed geometry.

Computed properties:
Energy relative to the elements, uncorrected, eV per atom: -2.04
V, Å³/cell: 334.5

```
15
Lattice="3.893 2.248 6.370 -3.893 2.248 6.370 0.000 -4.496 6.370" Properties=species:S:1:pos:R:3 pbc="T T T"
Tb -1.947 -1.124 6.370
Tb -1.947 1.124 12.739
Tb 0.000 2.248 6.370
Sm 0.000 0.000 9.555
Er -3.893 0.000 9.555
Er -1.947 1.124 3.185
Er 1.947 1.124 3.185
S -2.006 -1.158 11.158
S 0.000 -2.316 7.951
S -2.006 1.158 7.951
S 0.000 0.000 4.742
S 0.000 0.000 14.367
S 2.006 -1.158 11.158
S 0.000 2.316 11.158
S 2.006 1.158 7.951
```

=====

(8)
VASP calculation (PBE) on crystalline GeH3SF3 at its relaxed geometry.

Computed properties:
Total energy, eV/cell: -68.57
V, Å³/cell: 244.8

```
16
Lattice="4.786 0.000 0.000 0.486 6.767 0.000 0.817 0.564 7.557" Properties=species:S:1:pos:R:3 pbc="T T T"
Ge 0.000 0.000 0.000
Ge 1.035 4.211 2.748
H 2.582 6.538 3.919
H 2.656 4.420 5.789
H 2.948 3.047 7.156
H 2.878 0.923 5.370
H 4.588 6.634 4.103
H 4.748 3.146 5.614
S 3.578 4.177 6.752
S 3.069 0.763 3.970
F 1.301 5.463 4.222
F 1.309 5.879 1.586
F 2.582 0.995 6.878
F 4.014 4.545 2.812
F 4.695 1.584 0.895
F 5.323 2.548 5.051
```

=====

(9)
VASP calculation (PBE) on crystalline Pa3TiTl2O12 at its relaxed geometry.

Computed properties:
Energy relative to the elements, uncorrected, eV per atom: -2.53
V, Å³/cell: 344.5

```
18
Lattice="4.010 2.315 6.183 -4.010 2.315 6.183 0.000 -4.631 6.183" Properties=species:S:1:pos:R:3 pbc="T T T"
Pa -2.005 -1.158 6.183
Pa -2.005 1.158 12.365
Pa 0.000 2.315 6.183
Ti 0.000 0.000 9.274
Tl 0.000 0.000 1.941
Tl 0.000 0.000 16.607
O 0.000 -1.836 5.702
O -1.590 0.918 5.702
O -1.401 -0.809 8.176
O -1.590 -0.918 12.846
O 0.000 -1.618 10.372
O -1.401 0.809 10.372
O 1.401 -0.809 8.176
O 0.000 1.618 8.176
O 1.590 0.918 5.702
O 1.401 0.809 10.372
O 1.590 -0.918 12.846
O 0.000 1.836 12.846
```

=====

(10)
VASP calculation (PBE) on crystalline Tl3GaB at its relaxed geometry.

Computed properties:
Total energy, eV/cell: -13.44
V, Å³/cell: 127.9

```
5
Lattice="5.038 0.000 0.000 0.000 5.038 0.000 0.000 0.000 5.038" Properties=species:S:1:pos:R:3 pbc="T T T"
Tl 0.000 0.000 2.519
Tl 0.000 2.519 0.000
Tl 2.519 0.000 0.000
Ga 2.519 2.519 2.519
B 0.000 0.000 0.000
```

=====

(11)
VASP calculation (PBE) on crystalline BaSn4Au3 at its relaxed geometry.

Computed properties:
Total energy, eV/cell: -31.00
V, Å³/cell: 213.6

```
8
Lattice="4.934 0.000 0.000 0.000 4.934 0.000 0.000 0.000 8.774" Properties=species:S:1:pos:R:3 pbc="T T T"
Ba 0.000 0.000 0.000
Sn 0.000 2.467 2.802
Sn 0.000 2.467 5.973
Sn 2.467 0.000 2.802
Sn 2.467 0.000 5.973
Au 0.000 0.000 4.387
Au 2.467 2.467 1.390
Au 2.467 2.467 7.384
```

=====

(12)
VASP calculation (PBE) on crystalline CaPmPt10 at its relaxed geometry.

Computed properties:
Total energy, eV/cell: -74.77
V, Å³/cell: 223.8

```
12
Lattice="4.431 0.000 0.000 0.000 5.419 0.000 0.000 0.000 9.323" Properties=species:S:1:pos:R:3 pbc="T T T"
Ca 0.000 0.000 0.000
Pm 0.000 2.709 4.662
Pt 0.000 0.000 3.103
Pt 0.000 0.000 6.220
Pt 0.000 2.709 1.549
Pt 0.000 2.709 7.774
Pt 2.215 0.000 4.662
Pt 2.215 1.362 2.347
Pt 2.215 1.362 6.976
Pt 2.215 2.709 0.000
Pt 2.215 4.056 2.347
Pt 2.215 4.056 6.976
```